The following is a DFT calculation (GGA-PBE) of a relaxed structure of Cd2Au2Cl.

Geometry as POSCAR:
```
Cd2Au2Cl
1.0
8.069 0.000 0.000
0.000 8.069 0.000
0.000 0.000 3.344
Cd Au Cl
4 4 2
Direct
0.180 0.320 0.000
0.320 0.820 0.000
0.680 0.180 0.000
0.820 0.680 0.000
0.121 0.621 0.500
0.379 0.121 0.500
0.621 0.879 0.500
0.879 0.379 0.500
0.000 0.000 0.000
0.500 0.500 0.000
```

## Properties
The energy relative to the elements, uncorrected comes out at -0.19 eV/atom. As for the energy: -2.24 eV/atom. The space group is No. 127. The calculation puts the volume at 21.77 Å³ per atom. For the density of states at the Fermi level, the calculation gives 3.6 states/eV/cell. For the energy above the most stable polymorph in this dataset, the calculation gives 0.017 eV per atom.